*i*
{
  "formula": "RbPb2S2",
  "functional": "PBE",
  "state": "relaxed",
  "cell": [[5.1306, -6.0928, 0.0000], [5.1306, 6.0928, 0.0000], [-5.0980, 0.0000, 5.6057]],
  "species": ["Rb", "Rb", "Pb", "Pb", "Pb", "Pb", "S", "S", "S", "S"],
  "frac_coords": [[0.1248, 0.8752, 0.7500], [0.8752, 0.1248, 0.2500], [0.2350, 0.4860, 0.9711], [0.4860, 0.2350, 0.4711], [0.5140, 0.7650, 0.5289], [0.7650, 0.5140, 0.0289], [0.1561, 0.8439, 0.2500], [0.4056, 0.5944, 0.7500], [0.5944, 0.4056, 0.2500], [0.8439, 0.1561, 0.7500]],
  "density_g_cm3": 5.34,
  "vol_a3_per_atom": 35.05
}



*ii*
{
  "formula": "RbPb2S2",
  "functional": "PBE",
  "state": "relaxed",
  "cell": [[-2.7230, 2.7230, 5.4345], [2.7230, -2.7230, 5.4345], [2.7230, 2.7230, -5.4345]],
  "species": ["Rb", "Pb", "Pb", "S", "S"],
  "frac_coords": [[0.0000, 0.0000, 0.0000], [0.3411, 0.3411, 0.0000], [0.6589, 0.6589, 0.0000], [0.2500, 0.7500, 0.5000], [0.7500, 0.2500, 0.5000]],
  "density_g_cm3": 5.81,
  "vol_a3_per_atom": 32.24
}



Stability, descending: *ii*, *i*



*i*
{
  "formula": "Rb2PbS2",
  "functional": "PBE",
  "state": "relaxed",
  "cell": [[10.9381, 0.0000, 0.0000], [0.0000, 8.5660, 0.0000], [-2.0775, 0.0000, 7.9527]],
  "species": ["Rb", "Rb", "Rb", "Rb", "Rb", "Rb", "Rb", "Rb", "Pb", "Pb", "Pb", "Pb", "S", "S", "S", "S", "S", "S", "S", "S"],
  "frac_coords": [[0.0304, 0.2393, 0.0128], [0.0304, 0.2607, 0.5128], [0.3237, 0.6531, 0.0060], [0.3237, 0.8469, 0.5060], [0.6763, 0.1531, 0.4940], [0.6763, 0.3469, 0.9940], [0.9696, 0.7393, 0.4872], [0.9696, 0.7607, 0.9872], [0.3562, 0.1362, 0.9317], [0.3562, 0.3638, 0.4317], [0.6438, 0.6362, 0.5683], [0.6438, 0.8638, 0.0683], [0.1496, 0.5340, 0.2834], [0.1496, 0.9660, 0.7834], [0.4604, 0.5340, 0.7077], [0.4604, 0.9660, 0.2077], [0.5396, 0.0340, 0.7923], [0.5396, 0.4660, 0.2923], [0.8504, 0.0340, 0.2166], [0.8504, 0.4660, 0.7166]],
  "density_g_cm3": 3.94,
  "vol_a3_per_atom": 37.26
}



*ii*
{
  "formula": "Rb2PbS2",
  "functional": "PBE",
  "state": "relaxed",
  "cell": [[8.2032, 0.0000, 0.0000], [0.0000, 8.2032, 0.0000], [0.0000, 0.0000, 4.7901]],
  "species": ["Rb", "Rb", "Rb", "Rb", "Pb", "Pb", "S", "S", "S", "S"],
  "frac_coords": [[0.1366, 0.3634, 0.0000], [0.3634, 0.8634, 0.0000], [0.6366, 0.1366, 0.0000], [0.8634, 0.6366, 0.0000], [0.0000, 0.0000, 0.5000], [0.5000, 0.5000, 0.5000], [0.1807, 0.6807, 0.5000], [0.3193, 0.1807, 0.5000], [0.6807, 0.8193, 0.5000], [0.8193, 0.3193, 0.5000]],
  "density_g_cm3": 4.56,
  "vol_a3_per_atom": 32.23
}



Stability, descending: *i*, *ii*



*i*
{
  "formula": "Rb2Pb2S3",
  "functional": "PBE",
  "state": "relaxed",
  "cell": [[8.1059, -8.6462, 0.0000], [8.1059, 8.6462, 0.0000], [-3.7728, 0.0000, 7.1695]],
  "species": ["Rb", "Rb", "Rb", "Rb", "Rb", "Rb", "Rb", "Rb", "Pb", "Pb", "Pb", "Pb", "Pb", "Pb", "Pb", "Pb", "S", "S", "S", "S", "S", "S", "S", "S", "S", "S", "S", "S"],
  "frac_coords": [[0.0759, 0.9241, 0.7500], [0.2422, 0.7578, 0.2500], [0.3119, 0.4678, 0.3911], [0.4678, 0.3119, 0.8911], [0.5322, 0.6881, 0.1089], [0.6881, 0.5322, 0.6089], [0.7578, 0.2422, 0.7500], [0.9241, 0.0759, 0.2500], [0.0638, 0.5830, 0.7583], [0.1059, 0.2749, 0.8048], [0.2749, 0.1059, 0.3048], [0.4170, 0.9362, 0.7417], [0.5830, 0.0638, 0.2583], [0.7251, 0.8941, 0.6952], [0.8941, 0.7251, 0.1952], [0.9362, 0.4170, 0.2417], [0.0953, 0.6257, 0.4627], [0.1124, 0.2180, 0.1207], [0.2180, 0.1124, 0.6207], [0.2610, 0.4862, 0.9477], [0.3743, 0.9047, 0.0373], [0.4862, 0.2610, 0.4477], [0.5138, 0.7390, 0.5523], [0.6257, 0.0953, 0.9627], [0.7390, 0.5138, 0.0523], [0.7820, 0.8876, 0.3793], [0.8876, 0.7820, 0.8793], [0.9047, 0.3743, 0.5373]],
  "density_g_cm3": 4.50,
  "vol_a3_per_atom": 35.89
}



*ii*
{
  "formula": "Rb2Pb2S3",
  "functional": "PBE",
  "state": "relaxed",
  "cell": [[7.4932, 0.0000, 0.0000], [0.0000, 8.3295, 0.0000], [-1.5315, 0.0000, 7.8287]],
  "species": ["Rb", "Rb", "Rb", "Rb", "Pb", "Pb", "Pb", "Pb", "S", "S", "S", "S", "S", "S"],
  "frac_coords": [[0.2068, 0.1546, 0.3732], [0.2068, 0.3454, 0.8732], [0.7932, 0.6546, 0.1268], [0.7932, 0.8454, 0.6268], [0.3146, 0.6596, 0.4713], [0.3146, 0.8404, 0.9713], [0.6854, 0.1596, 0.0287], [0.6854, 0.3404, 0.5287], [0.0000, 0.0000, 0.0000], [0.0000, 0.5000, 0.5000], [0.4477, 0.0406, 0.7592], [0.4477, 0.4594, 0.2592], [0.5523, 0.5406, 0.7408], [0.5523, 0.9594, 0.2408]],
  "density_g_cm3": 4.63,
  "vol_a3_per_atom": 34.90
}



Stability, descending: *ii*, *i*